P | This record from the Alexandria database describes a relaxed structure of Li8HgPd2. The functional is GGA-PBE.

size of the total moment: 0.00 μB per formula unit

Cell and atoms, written as CIF:
```
data_Li8HgPd2
_cell_length_a 4.703
_cell_length_b 7.489
_cell_length_c 6.921
_cell_angle_alpha 57.25
_cell_angle_beta 79.79
_cell_angle_gamma 70.88
_symmetry_space_group_name_H-M 'P 1'
_symmetry_Int_Tables_number 1
_symmetry_space_group_name_Hall 'P 1'
loop_
_atom_site_label
_atom_site_fract_x
_atom_site_fract_y
_atom_site_fract_z
_atom_site_occupancy
Hg1 0.500 0.000 0.000 1
Li1 0.693 0.615 0.000 1
Li2 0.102 0.929 0.748 1
Li3 0.898 0.071 0.252 1
Pd1 0.000 0.317 0.366 1
Li4 0.102 0.677 0.252 1
Li5 0.898 0.323 0.748 1
Pd2 0.000 0.683 0.634 1
Li6 0.307 0.385 0.000 1
Li7 0.500 0.237 0.526 1
Li8 0.500 0.763 0.474 1
```

***

Q | This record from the Alexandria database describes a relaxed structure of Li8HgPd2. The functional is GGA-PBE.

size of the total moment: 0.00 μB per formula unit

Cell and atoms, written as CIF:
```
data_Li8HgPd2
_cell_length_a 4.112
_cell_length_b 6.297
_cell_length_c 7.359
_cell_angle_alpha 106.42
_cell_angle_beta 106.22
_cell_angle_gamma 90.00
_symmetry_space_group_name_H-M 'P 1'
_symmetry_Int_Tables_number 1
_symmetry_space_group_name_Hall 'P 1'
loop_
_atom_site_label
_atom_site_fract_x
_atom_site_fract_y
_atom_site_fract_z
_atom_site_occupancy
Li1 0.050 0.736 0.101 1
Pd1 0.225 0.648 0.449 1
Li2 0.609 0.466 0.218 1
Li3 0.391 0.534 0.782 1
Li4 0.686 0.915 0.373 1
Li5 0.851 0.787 0.703 1
Hg1 0.500 0.000 0.000 1
Pd2 0.775 0.352 0.551 1
Li6 0.149 0.213 0.297 1
Li7 0.314 0.085 0.627 1
Li8 0.950 0.264 0.899 1
```

***

Stability check: which of them is most stable? Q.